First-principles (PBEsol) data for a geometry-optimized CoP2Os structure, as listed in Alexandria via LeMat-Bulk.

abc: 3.075 3.075 5.132
angles: 90.00 90.00 90.00
Fractional positions:
P1 0.000 0.000 0.983
P2 0.500 0.500 0.317
Os1 0.500 0.500 0.785
Co1 0.000 0.000 0.416

formation enthalpy at 0 K = -5.54 kcal/mol of atoms
theoretical density = 10.64 Mg/m³
total energy = -32.50 eV/cell
distance to the lowest polymorph of the same formula = 0 meV/atom